Density functional theory data (PBE with a Hubbard U) for a relaxed Ac3Mg2WO9 crystal.

Computed properties:
**Total magnetization**: 1.0 μB/f.u.
**N(E_F)**: 4.312 states/eV/f.u.
**E_tot**: -110.5 eV/cell

Lattice parameters (Å, degrees): 5.7118 5.7118 7.0916 90.00 90.00 120.00
Last column: nearest neighbours and their distance in Å.
Element x y z (fractional)
Ac 0.3333 0.6667 0.7125  9 O 2.62-2.87
Ac 0.0000 0.0000 0.0000  12 O 2.84-2.86
Ac 0.6667 0.3333 0.2875  9 O 2.62-2.87
Mg 0.3333 0.6667 0.1696  6 O 2.04-2.05
Mg 0.6667 0.3333 0.8304  6 O 2.04-2.05
W 0.0000 0.0000 0.5000  6 O 2.00
O 0.8385 0.1615 0.6684  1 W 2.00, 1 Mg 2.05
O 0.8385 0.6769 0.6684  1 W 2.00, 1 Mg 2.05
O 0.3231 0.1615 0.6684  1 W 2.00, 1 Mg 2.05
O 0.6769 0.8385 0.3316  1 W 2.00, 1 Mg 2.05
O 0.1615 0.3231 0.3316  1 W 2.00, 1 Mg 2.05
O 0.1615 0.8385 0.3316  1 W 2.00, 1 Mg 2.05
O 0.5000 0.0000 0.0000  2 Mg 2.04
O 0.0000 0.5000 0.0000  2 Mg 2.04
O 0.5000 0.5000 0.0000  2 Mg 2.04